This record from Alexandria describes a crystal of K4LiCu relaxed with PBEsol. The functional is SCAN.

Computed properties:
The density of states at the Fermi level comes out at 3.1 states/eV/cell. As for the energy: -47.36 eV/f.u.

abc: 7.4684 7.4684 7.4684
angles: 60.00 60.00 60.00
With the nearest neighbours (Å) after each atom.
Fractional positions:
1 K 0.3742 0.3742 0.3742  6 K 3.71-3.76
2 K 0.3742 0.3742 0.8774  6 K 3.71-3.76
3 K 0.3742 0.8774 0.3742  6 K 3.71-3.76
4 K 0.8774 0.3742 0.3742  6 K 3.71-3.76
5 Li 0.7500 0.7500 0.7500  12 K 4.38, 4 Cu 4.57
6 Cu 0.0000 0.0000 0.0000  12 K 4.38, 4 Li 4.57